A relaxed structure of Nd3Tm6Sc, computed with PBE-GGA.

DFT total energy   -4.707 eV per atom
Density of states at the Fermi level   30.68 states/eV per cell
Energy of formation from the pure elements   0.0395 eV/atom
Polymorph energy (0 for the lowest one)   0 meV per atom

abc: 11.120 4.994 11.153
angles: 90.00 90.26 90.00
Fractional coordinates of all 20 atoms:
Nd (0.050, 0.250, 0.401)
Nd (0.151, 0.750, 0.202)
Nd (0.252, 0.250, 0.000)
Nd (0.748, 0.750, 0.000)
Nd (0.849, 0.250, 0.798)
Nd (0.950, 0.750, 0.599)
Tm (0.053, 0.750, 0.899)
Tm (0.159, 0.250, 0.698)
Tm (0.262, 0.750, 0.502)
Tm (0.353, 0.750, 0.798)
Tm (0.358, 0.250, 0.308)
Tm (0.452, 0.750, 0.104)
Tm (0.548, 0.250, 0.896)
Tm (0.642, 0.750, 0.692)
Tm (0.647, 0.250, 0.202)
Tm (0.738, 0.250, 0.498)
Tm (0.841, 0.750, 0.302)
Tm (0.947, 0.250, 0.101)
Sc (0.451, 0.250, 0.599)
Sc (0.549, 0.750, 0.401)